A geometry-optimized In3Te3Se structure, computed with PBE.

abc: 9.418 9.418 6.405
angles: 90.00 90.00 120.12
Atoms (fractional coordinates):
In1 0.168 0.336 0.750
In2 0.168 0.832 0.750
In3 0.336 0.168 0.250
In4 0.664 0.832 0.750
In5 0.832 0.168 0.250
In6 0.832 0.664 0.250
Te1 0.184 0.816 0.250
Te2 0.185 0.369 0.250
Te3 0.369 0.185 0.750
Te4 0.631 0.815 0.250
Te5 0.815 0.631 0.750
Te6 0.816 0.184 0.750
Se1 0.333 0.667 0.750
Se2 0.667 0.333 0.250

Total magnetic moment: 0.0 μB/f.u.
D(E_F): 5.205 states/eV/cell
V: 245.7 Å³/f.u.
Formation energy without anion corrections: -0.260 eV/atom
Crystal system: orthorhombic